The following is a DFT calculation (PBE) of crystalline LaCrOs at its relaxed geometry.

Lattice parameters (Å, degrees): 4.2538 4.2538 7.0131 90.00 90.00 90.00
Closest atoms and distances in Å follow each position.
Sites, in units of the cell vectors:
La 0.2500 0.2500 0.1569  4 Cr 3.21, 6 Os 3.25-3.57
La 0.7500 0.7500 0.8431  4 Cr 3.21, 6 Os 3.25-3.57
Cr 0.2500 0.7500 0.5000  4 Os 2.42
Cr 0.7500 0.2500 0.5000  4 Os 2.42
Os 0.2500 0.2500 0.6658  4 Cr 2.42
Os 0.7500 0.7500 0.3342  4 Cr 2.42

Summary:
The energy above the lowest structure with this stoichiometry comes out at 0.0 kJ/mol of atoms. The value obtained for the energy is -8.521 eV per atom. The energy relative to the elements comes out at 0.073 eV/atom.

***

The following is a DFT calculation (PBE) of crystalline LaCrOs2 at its relaxed geometry.

Lattice parameters (Å, degrees): 3.0011 3.0011 7.6320 90.00 90.00 90.00
Closest atoms and distances in Å follow each position.
Sites, in units of the cell vectors:
La 0.0000 0.0000 0.0000  4 La 3.00, 8 Os 3.20
Cr 0.0000 0.0000 0.5000  8 Os 2.56
Os 0.5000 0.5000 0.3135  4 Cr 2.56, 1 Os 2.85
Os 0.5000 0.5000 0.6865  4 Cr 2.56, 1 Os 2.85

Summary:
The energy above the lowest structure with this stoichiometry comes out at 0.0 kJ/mol of atoms. The value obtained for the energy is -9.000 eV per atom. The energy relative to the elements comes out at 0.252 eV/atom.

***

The following is a DFT calculation (PBE) of crystalline LaCrOs2 at its relaxed geometry.

Lattice parameters (Å, degrees): 2.8370 3.6743 7.0760 90.00 90.00 90.00
Closest atoms and distances in Å follow each position.
Sites, in units of the cell vectors:
La 0.0000 0.0000 0.0000  2 La 2.84, 4 Os 3.17
Cr 0.5000 0.5000 0.6534  5 Os 2.46-2.56
Os 0.0000 0.0000 0.5017  4 Cr 2.56, 6 Os 2.71-2.84
Os 0.5000 0.5000 0.3050  1 Cr 2.46, 4 Os 2.71

Summary:
The energy above the lowest structure with this stoichiometry comes out at 19.6 kJ/mol of atoms. The value obtained for the energy is -8.797 eV per atom. The energy relative to the elements comes out at 0.456 eV/atom.

***

The following is a DFT calculation (PBE) of crystalline LaCr2Os at its relaxed geometry.

Lattice parameters (Å, degrees): 9.3274 3.0768 5.4548 90.00 104.06 90.00
Closest atoms and distances in Å follow each position.
Sites, in units of the cell vectors:
La 0.0000 0.0000 0.0000  2 La 3.08, 4 Os 3.13, 6 Cr 3.24-3.30
La 0.5000 0.5000 0.0000  2 La 3.08, 4 Os 3.13, 6 Cr 3.24-3.30
Cr 0.2182 0.0000 0.6202  2 Cr 2.19
Cr 0.2818 0.5000 0.3798  2 Cr 2.19
Cr 0.7182 0.5000 0.6202  2 Cr 2.19
Cr 0.7818 0.0000 0.3798  2 Cr 2.19
Os 0.0000 0.5000 0.5000  4 Cr 2.51
Os 0.5000 0.0000 0.5000  4 Cr 2.51

Summary:
The energy above the lowest structure with this stoichiometry comes out at 2.9 kJ/mol of atoms. The value obtained for the energy is -8.420 eV per atom. The energy relative to the elements comes out at 0.431 eV/atom.

***

The following is a DFT calculation (PBE) of crystalline LaCrOs at its relaxed geometry.

Lattice parameters (Å, degrees): 3.3368 3.3368 11.0411 90.00 90.00 90.00
Closest atoms and distances in Å follow each position.
Sites, in units of the cell vectors:
La 0.0000 0.0000 0.0000  1 Cr 3.00, 1 Os 3.07, 4 La 3.34
La 0.5000 0.5000 0.5000  1 Cr 3.00, 1 Os 3.07, 4 La 3.34
Cr 0.0000 0.0000 0.2720  4 Os 2.42
Cr 0.5000 0.5000 0.7720  4 Os 2.42
Os 0.0000 0.0000 0.7219  4 Cr 2.42
Os 0.5000 0.5000 0.2219  4 Cr 2.42

Summary:
The energy above the lowest structure with this stoichiometry comes out at 31.6 kJ/mol of atoms. The value obtained for the energy is -8.193 eV per atom. The energy relative to the elements comes out at 0.400 eV/atom.

***

The following is a DFT calculation (PBE) of crystalline LaCrOs2 at its relaxed geometry.

Lattice parameters (Å, degrees): 6.0321 7.9516 2.9841 90.00 90.00 90.00
Closest atoms and distances in Å follow each position.
Sites, in units of the cell vectors:
La 0.0000 0.0000 0.0000  8 Os 2.91, 2 La 2.98, 2 Cr 3.02
La 0.5000 0.5000 0.0000  8 Os 2.91, 2 La 2.98, 2 Cr 3.02
Cr 0.0000 0.5000 0.0000  8 Os 2.91, 2 Cr 2.98, 2 La 3.02
Cr 0.5000 0.0000 0.0000  8 Os 2.91, 2 Cr 2.98, 2 La 3.02
Os 0.2500 0.2500 0.5000  4 Cr 2.91, 4 La 2.91, 4 Os 2.98-3.02
Os 0.2500 0.7500 0.5000  4 La 2.91, 4 Cr 2.91, 4 Os 2.98-3.02
Os 0.7500 0.2500 0.5000  4 Cr 2.91, 4 La 2.91, 4 Os 2.98-3.02
Os 0.7500 0.7500 0.5000  4 La 2.91, 4 Cr 2.91, 4 Os 2.98-3.02

Summary:
The energy above the lowest structure with this stoichiometry comes out at 43.0 kJ/mol of atoms. The value obtained for the energy is -8.554 eV per atom. The energy relative to the elements comes out at 0.698 eV/atom.